(1)
The following is a GGA-PBEsol calculation of crystalline YBeRu at its relaxed geometry, from Alexandria via LeMat-Bulk.

## Properties
- offset from the most stable computed form (eV/atom) = 1.283
- space group = F-43m

Cell: 4.353 4.353 4.353 Å, 60.00 60.00 60.00°
Element x y z (fractional)
1 Y 0.000 0.000 0.000
2 Be 0.250 0.250 0.250
3 Ru 0.750 0.750 0.750

=====

(2)
The following is a GGA-PBEsol calculation of crystalline Y2BeRu at its relaxed geometry, from Alexandria via LeMat-Bulk.

## Properties
- DFT total energy (eV per atom) = -7.168
- space group = Amm2

Cell: 3.897 5.601 5.601 Å, 41.67 90.00 90.00°
Element x y z (fractional)
1 Y 0.000 0.000 0.000
2 Y 0.500 0.279 0.279
3 Be 0.000 0.694 0.694
4 Ru 0.500 0.580 0.580

=====

(3)
The following is a GGA-PBEsol calculation of crystalline YBe2Ru2 at its relaxed geometry, from Alexandria via LeMat-Bulk.

## Properties
- DFT total energy (eV per atom) = -7.157
- space group = I4/mmm

Cell: 5.287 5.287 5.287 Å, 135.22 135.22 65.19°
Element x y z (fractional)
1 Y 0.000 0.000 0.000
2 Be 0.250 0.750 0.500
3 Be 0.750 0.250 0.500
4 Ru 0.366 0.366 0.000
5 Ru 0.634 0.634 0.000

=====

(4)
The following is a GGA-PBEsol calculation of crystalline Y3BeRu at its relaxed geometry, from Alexandria via LeMat-Bulk.

## Properties
- DFT total energy (eV per atom) = -6.568
- space group = Pm-3m

Cell: 5.198 5.198 5.198 Å, 90.00 90.00 90.00°
Element x y z (fractional)
1 Y 0.000 0.000 0.500
2 Y 0.000 0.500 0.000
3 Y 0.500 0.000 0.000
4 Be 0.500 0.500 0.500
5 Ru 0.000 0.000 0.000

=====

no.,total magnetization (μB per formula unit)
1,0.000
2,0.000
3,0.001
4,0.000